(1)
A plane-wave DFT calculation with PBE was carried out for a relaxed structure of NaTl2PdCl6.

**Calculated total energy**: -62.6 eV/cell

Unit cell a=7.1912 b=7.0509 c=12.7065 alpha=90.00 beta=124.41 gamma=90.00
Sites, in units of the cell vectors:
Na 0.0000 0.0000 0.0000
Na 0.0000 0.5000 0.5000
Tl 0.2516 0.0429 0.7522
Tl 0.2516 0.4571 0.2522
Tl 0.7484 0.5429 0.7478
Tl 0.7484 0.9571 0.2478
Pd 0.5000 0.0000 0.5000
Pd 0.5000 0.5000 0.0000
Cl 0.1999 0.5125 0.7573
Cl 0.1999 0.9875 0.2573
Cl 0.2680 0.6891 0.0346
Cl 0.2680 0.8109 0.5346
Cl 0.3361 0.2239 0.0196
Cl 0.3361 0.2761 0.5196
Cl 0.6639 0.7239 0.4804
Cl 0.6639 0.7761 0.9804
Cl 0.7320 0.1891 0.4654
Cl 0.7320 0.3109 0.9654
Cl 0.8001 0.0125 0.7427
Cl 0.8001 0.4875 0.2427

(2)
A plane-wave DFT calculation with PBE was carried out for a relaxed structure of GdTm.

**E above lowest polymorph**: 0 kJ/mol of formula units
**Calculated total energy**: -9.1 eV/cell
**Formation enthalpy at 0 K**: 0.01 eV/atom

Unit cell a=3.5949 b=3.5949 c=5.5974 alpha=90.00 beta=90.00 gamma=120.00
Sites, in units of the cell vectors:
Gd 0.0000 0.0000 0.0000
Tm 0.6667 0.3333 0.5000